(1)
Crystalline SiNi2Cl at its relaxed geometry. Source: Alexandria, functional GGA-PBE.

Cell: 2.878 3.023 6.358 Å, 90.00 90.00 90.00°
Element x y z (fractional)
Si: 0.000 0.000 0.000
Ni: 0.500 0.500 0.191
Ni: 0.500 0.500 0.809
Cl: 0.000 0.500 0.500

---

(2)
Crystalline SiNi2Cl at its relaxed geometry. Source: Alexandria, functional GGA-PBE.

Cell: 3.069 3.105 6.831 Å, 90.00 90.00 90.00°
Element x y z (fractional)
Si: 0.000 0.000 0.000
Ni: 0.000 0.000 0.334
Ni: 0.500 0.500 0.101
Cl: 0.500 0.500 0.512

---

(3)
Crystalline SiNi2Cl at its relaxed geometry. Source: Alexandria, functional GGA-PBE.

Cell: 2.750 3.748 5.567 Å, 90.00 90.00 90.00°
Element x y z (fractional)
Si: 0.000 0.000 0.000
Ni: 0.000 0.500 0.500
Ni: 0.500 0.500 0.000
Cl: 0.500 0.000 0.500

---

(4)
Crystalline SiNi2Cl at its relaxed geometry. Source: Alexandria, functional GGA-PBE.

Cell: 4.221 4.221 4.221 Å, 60.00 60.00 60.00°
Element x y z (fractional)
Si: 0.000 0.000 0.000
Ni: 0.250 0.250 0.250
Ni: 0.750 0.750 0.750
Cl: 0.500 0.500 0.500

---

(5)
Crystalline SiNi2Cl at its relaxed geometry. Source: Alexandria, functional GGA-PBE.

Cell: 6.042 6.042 6.042 Å, 148.71 148.71 44.84°
Element x y z (fractional)
Si: 0.000 0.000 0.000
Ni: 0.500 0.500 0.000
Ni: 0.750 0.250 0.500
Cl: 0.250 0.750 0.500

---

(6)
Crystalline SiNi2Cl at its relaxed geometry. Source: Alexandria, functional GGA-PBE.

Cell: 7.157 7.157 7.157 Å, 24.16 24.16 24.16°
Element x y z (fractional)
Si: 0.000 0.000 0.000
Ni: 0.257 0.257 0.257
Ni: 0.743 0.743 0.743
Cl: 0.500 0.500 0.500

---

(7)
Crystalline SiNi2Cl at its relaxed geometry. Source: Alexandria, functional GGA-PBE.

Cell: 4.299 4.299 2.826 Å, 90.00 90.00 94.05°
Element x y z (fractional)
Si: 0.000 0.000 0.000
Ni: 0.000 0.500 0.500
Ni: 0.500 0.000 0.500
Cl: 0.500 0.500 0.000

---

(8)
Crystalline SiNi2Cl at its relaxed geometry. Source: Alexandria, functional GGA-PBE.

Cell: 4.285 4.285 4.285 Å, 60.00 60.00 60.00°
Element x y z (fractional)
Si: 0.000 0.000 0.000
Ni: 0.250 0.250 0.250
Ni: 0.500 0.500 0.500
Cl: 0.750 0.750 0.750

---

Number 1: polymorph energy (0 for the lowest one) 7.4 kJ/mol of atoms. Number 2: polymorph energy (0 for the lowest one) 33.2 kJ/mol of atoms. Number 3: polymorph energy (0 for the lowest one) 47.9 kJ/mol of atoms. Number 4: polymorph energy (0 for the lowest one) 59.7 kJ/mol of atoms. Number 5: polymorph energy (0 for the lowest one) 53.3 kJ/mol of atoms. Number 6: polymorph energy (0 for the lowest one) 19.0 kJ/mol of atoms. Number 7: polymorph energy (0 for the lowest one) 57.2 kJ/mol of atoms. Number 8: polymorph energy (0 for the lowest one) 93.8 kJ/mol of atoms.